A plane-wave DFT calculation with PBE was carried out for a geometry-optimized NdTm7Pb4 structure. Values from VASP.

Computed properties:
Energy of formation: -41 meV per atom
Raw total energy: -4.282 eV per atom
Total moment: 0.001 μB/f.u.
D(E_F): 1.146 states/eV per atom

Quantum ESPRESSO input file:
```
&SYSTEM
  ibrav = 0, nat = 12, ntyp = 3
/
ATOMIC_SPECIES
Tm 168.93 Tm.upf
Nd 144.24 Nd.upf
Pb 207.20 Pb.upf
CELL_PARAMETERS angstrom
-4.832 -2.358 -1.830
-2.021 -7.782 6.551
-5.748 2.517 3.119
ATOMIC_POSITIONS angstrom
Tm -7.077 -3.372 5.405
Tm -8.672 -7.493 6.113
Nd 0.000 0.000 0.000
Pb -10.001 -4.666 5.977
Tm -3.168 -4.188 4.949
Tm -3.928 -0.130 1.727
Pb -6.761 -1.516 2.179
Pb -5.839 -6.107 5.661
Tm -9.433 -3.435 2.891
Tm -5.524 -4.251 2.435
Pb -2.600 -2.957 1.863
Tm -2.416 -1.179 -0.915
```

=====

A plane-wave DFT calculation with PBE was carried out for a geometry-optimized Nd3TmPb3 structure. Values from VASP.

Computed properties:
Energy of formation: -362 meV per atom
Raw total energy: -4.634 eV per atom
Total moment: 0.000 μB/f.u.
D(E_F): 1.108 states/eV per atom

Quantum ESPRESSO input file:
```
&SYSTEM
  ibrav = 0, nat = 14, ntyp = 3
/
ATOMIC_SPECIES
Pb 207.20 Pb.upf
Nd 144.24 Nd.upf
Tm 168.93 Tm.upf
CELL_PARAMETERS angstrom
-1.433 5.460 -3.951
2.897 -4.533 -4.306
-8.813 -3.752 -1.858
ATOMIC_POSITIONS angstrom
Pb -6.382 0.050 -7.395
Nd -2.310 -4.560 -5.170
Tm -7.477 -2.967 -7.666
Pb -2.826 1.419 -2.568
Nd -0.435 3.157 -4.033
Pb -6.704 -2.843 -1.731
Pb -0.644 0.019 -8.385
Nd -1.892 -0.630 -5.341
Nd -5.038 1.737 -4.946
Pb -4.522 -4.243 -7.547
Nd 1.899 -2.230 -4.225
Nd -5.456 -2.194 -4.775
Pb -0.967 -2.874 -2.721
Tm 0.128 0.143 -2.450
```

=====

A plane-wave DFT calculation with PBE was carried out for a geometry-optimized NdTmPb2 structure. Values from VASP.

Computed properties:
Energy of formation: -442 meV per atom
Raw total energy: -4.606 eV per atom
Total moment: 0.001 μB/f.u.
D(E_F): 0.850 states/eV per atom

Quantum ESPRESSO input file:
```
&SYSTEM
  ibrav = 0, nat = 4, ntyp = 3
/
ATOMIC_SPECIES
Pb 207.20 Pb.upf
Nd 144.24 Nd.upf
Tm 168.93 Tm.upf
CELL_PARAMETERS angstrom
-1.260 -3.272 -0.652
0.748 -0.957 3.353
-8.246 2.658 2.599
ATOMIC_POSITIONS angstrom
Pb -6.273 2.022 1.977
Pb -1.973 0.636 0.622
Nd -4.379 -0.785 2.650
Tm -0.256 -2.114 1.351
```

=====

A plane-wave DFT calculation with PBE was carried out for a geometry-optimized Nd3TmPb5 structure. Values from VASP.

Computed properties:
Energy of formation: -476 meV per atom
Raw total energy: -4.622 eV per atom
Total moment: 0.000 μB/f.u.
D(E_F): 0.960 states/eV per atom

Quantum ESPRESSO input file:
```
&SYSTEM
  ibrav = 0, nat = 18, ntyp = 3
/
ATOMIC_SPECIES
Nd 144.24 Nd.upf
Tm 168.93 Tm.upf
Pb 207.20 Pb.upf
CELL_PARAMETERS angstrom
-6.510 -1.116 0.316
-0.011 -2.580 -9.356
1.480 -6.688 6.876
ATOMIC_POSITIONS angstrom
Nd -3.976 -6.559 -1.295
Tm 0.000 0.000 0.000
Tm -3.255 -0.558 0.158
Pb -0.571 -6.948 -1.706
Pb 0.486 -3.949 -3.946
Pb -1.631 -1.002 -2.545
Pb -4.891 -2.693 -6.496
Nd -4.316 -3.396 2.868
Nd -0.714 -4.408 4.324
Nd -1.635 -1.872 -5.698
Pb -4.471 -3.436 -0.459
Pb -2.769 -4.507 -3.788
Pb -3.818 -5.650 5.184
Nd -1.066 -3.825 -0.870
Nd -4.887 -1.824 -3.343
Pb -2.272 -5.877 1.623
Pb -1.212 -2.155 2.007
Pb 0.983 -5.318 1.465
```

=====

A plane-wave DFT calculation with PBE was carried out for a geometry-optimized NdTm8Pb6 structure. Values from VASP.

Computed properties:
Energy of formation: -300 meV per atom
Raw total energy: -4.486 eV per atom
Total moment: 0.008 μB/f.u.
D(E_F): 0.754 states/eV per atom

Quantum ESPRESSO input file:
```
&SYSTEM
  ibrav = 0, nat = 15, ntyp = 3
/
ATOMIC_SPECIES
Tm 168.93 Tm.upf
Pb 207.20 Pb.upf
Nd 144.24 Nd.upf
CELL_PARAMETERS angstrom
-6.876 -1.609 5.692
1.681 -2.729 8.485
-1.559 4.796 6.699
ATOMIC_POSITIONS angstrom
Tm -5.023 1.898 16.149
Pb -6.270 -1.236 8.991
Nd 0.000 0.000 0.000
Pb -3.936 2.948 8.223
Tm -5.688 -1.466 12.010
Pb -0.484 1.695 11.886
Tm -2.746 0.464 13.636
Pb -5.561 1.504 12.932
Tm -6.224 1.741 9.899
Tm -1.067 1.925 8.867
Tm -1.732 -1.440 4.728
Tm -0.530 -1.283 10.977
Tm -4.009 -0.005 7.240
Pb -2.819 -2.490 12.654
Pb -1.194 -1.046 7.945
```

=====

A plane-wave DFT calculation with PBE was carried out for a geometry-optimized Nd5TmPb3 structure. Values from VASP.

Computed properties:
Energy of formation: -400 meV per atom
Raw total energy: -4.782 eV per atom
Total moment: 2.794 μB/f.u.
D(E_F): 1.213 states/eV per atom

Quantum ESPRESSO input file:
```
&SYSTEM
  ibrav = 0, nat = 18, ntyp = 3
/
ATOMIC_SPECIES
Nd 144.24 Nd.upf
Pb 207.20 Pb.upf
Tm 168.93 Tm.upf
CELL_PARAMETERS angstrom
6.779 0.000 0.000
0.000 9.745 0.000
0.000 -4.873 8.438
ATOMIC_POSITIONS angstrom
Nd 1.695 6.566 0.000
Nd 5.084 3.283 5.685
Nd 5.084 3.180 0.000
Pb 5.084 1.645 2.850
Nd 0.000 0.000 5.625
Nd 3.390 0.000 5.625
Pb 5.084 6.518 5.588
Tm 0.000 0.000 0.000
Nd 5.084 -1.590 2.753
Pb 1.695 3.227 5.588
Nd 3.390 4.873 2.812
Nd 0.000 4.873 2.812
Tm 3.390 0.000 0.000
Pb 1.695 -1.645 2.850
Nd 1.695 1.590 2.753
Nd 1.695 -3.283 5.685
Pb 5.084 6.454 0.000
Pb 1.695 3.291 0.000
```

=====

A plane-wave DFT calculation with PBE was carried out for a geometry-optimized Nd6Tm8Pb structure. Values from VASP.

Computed properties:
Energy of formation: 186 meV per atom
Raw total energy: -4.353 eV per atom
Total moment: 0.000 μB/f.u.
D(E_F): 1.509 states/eV per atom

Quantum ESPRESSO input file:
```
&SYSTEM
  ibrav = 0, nat = 15, ntyp = 3
/
ATOMIC_SPECIES
Nd 144.24 Nd.upf
Tm 168.93 Tm.upf
Pb 207.20 Pb.upf
CELL_PARAMETERS angstrom
6.660 0.000 0.000
0.000 8.089 -4.670
0.000 0.000 9.341
ATOMIC_POSITIONS angstrom
Nd 4.010 3.199 1.104
Tm 0.694 5.409 6.061
Tm 0.694 2.545 1.626
Nd 2.650 2.556 7.122
Tm 5.966 2.680 -1.391
Tm 1.128 5.393 0.000
Tm 5.966 7.953 -1.654
Tm 5.532 2.696 4.670
Tm 0.694 0.136 6.324
Nd 4.010 7.446 1.348
Nd 2.650 0.643 3.322
Nd 4.010 5.534 -2.452
Tm 5.966 5.545 3.044
Pb 3.330 0.000 0.000
Nd 2.650 4.890 3.566
```

=====

A plane-wave DFT calculation with PBE was carried out for a geometry-optimized Nd3Tm5Pb2 structure. Values from VASP.

Computed properties:
Energy of formation: -9 meV per atom
Raw total energy: -4.417 eV per atom
Total moment: 0.000 μB/f.u.
D(E_F): 1.078 states/eV per atom

Quantum ESPRESSO input file:
```
&SYSTEM
  ibrav = 0, nat = 20, ntyp = 3
/
ATOMIC_SPECIES
Nd 144.24 Nd.upf
Tm 168.93 Tm.upf
Pb 207.20 Pb.upf
CELL_PARAMETERS angstrom
6.402 0.000 0.000
3.201 9.868 -2.378
3.201 0.326 10.145
ATOMIC_POSITIONS angstrom
Nd 1.601 0.000 0.000
Tm 4.802 2.593 1.976
Nd 3.201 1.232 6.327
Tm 8.003 5.097 3.883
Nd 9.604 8.962 1.440
Nd 4.802 0.000 0.000
Tm 8.003 2.593 1.976
Tm 9.604 4.622 6.720
Nd 6.402 3.766 8.258
Pb 6.402 9.900 0.605
Pb 9.604 3.211 9.384
Pb 6.402 0.294 7.161
Tm 3.201 5.571 1.047
Tm 6.402 2.488 5.094
Tm 4.802 7.601 5.791
Pb 3.201 6.983 -1.617
Tm 4.802 5.097 3.883
Tm 6.402 7.706 2.673
Nd 6.402 6.427 -0.491
Tm 8.003 7.601 5.791
```